Material: La5Mg4Zn
Method: DFT, GGA-PBE
State: optimized geometry

Output
Energy   -3.382 eV/atom
DOS(E_F)   11.65 states/eV/f.u.
ΔE_f   -0.153 eV per atom

Cell lengths 3.911, 3.911, 19.711 Å; angles 90.00, 90.00, 90.00 degrees
Fractional coordinates of all 10 atoms:
1 La 0.500 0.500 0.088
2 La 0.500 0.500 0.296
3 La 0.500 0.500 0.500
4 La 0.500 0.500 0.704
5 La 0.500 0.500 0.912
6 Mg 0.000 0.000 0.194
7 Mg 0.000 0.000 0.398
8 Mg 0.000 0.000 0.602
9 Mg 0.000 0.000 0.806
10 Zn 0.000 0.000 0.000